<P>
VASP calculation (GGA-PBEsol) on K2SiSb after structural relaxation.

Calculated values
As for the density of states at the Fermi level: 0.41 states/eV/atom. The calculation puts the total magnetization at 0.0 μB/f.u.

Cell: 4.0152 5.6325 6.5817 Å, 115.33 107.76 90.00°
Sites, in units of the cell vectors:
K 0.7709 0.2709 0.5417
Sb 0.5565 0.5565 0.1130
K 0.9683 0.9683 0.9367
Si 0.2043 0.7043 0.4086

***

<Q>
VASP calculation (GGA-PBEsol) on K2SiSb after structural relaxation.

Calculated values
As for the density of states at the Fermi level: 0.57 states/eV/atom. The calculation puts the total magnetization at 0.0 μB/f.u.

Cell: 3.1592 5.8404 6.5027 Å, 95.70 90.00 105.69°
Sites, in units of the cell vectors:
Si 0.5000 0.0000 0.0000
Sb 0.0000 0.0000 0.5000
K 0.2504 0.5007 0.2461
K 0.7496 0.4993 0.7539

***

Most stable of them? <P>.

***

<P>
VASP calculation (GGA-PBEsol) on KSrSb2 after structural relaxation.

Calculated values
As for the density of states at the Fermi level: 0.53 states/eV/atom. The calculation puts the total magnetization at 0.0 μB/f.u.

Cell: 3.8768 3.8768 10.6254 Å, 79.49 79.49 60.00°
Sites, in units of the cell vectors:
Sb 0.7537 0.7537 0.7389
Sr 0.5000 0.5000 0.5000
Sb 0.2463 0.2463 0.2611
K 0.0000 0.0000 0.0000

***

<Q>
VASP calculation (GGA-PBEsol) on KSrSb2 after structural relaxation.

Calculated values
As for the density of states at the Fermi level: 1.06 states/eV/atom. The calculation puts the total magnetization at 0.0 μB/f.u.

Cell: 6.4405 7.1927 7.1927 Å, 78.44 63.40 63.40°
Sites, in units of the cell vectors:
Sb 0.3750 0.5043 0.9957
Sr 0.0000 0.0000 0.0000
Sb 0.1207 0.0043 0.5043
Sb 0.6293 0.9957 0.4957
Sr 0.7500 0.5000 0.5000
K 0.2500 0.5000 0.5000
Sb 0.8750 0.4957 0.0043
K 0.5000 0.0000 0.0000

***

<R>
VASP calculation (GGA-PBEsol) on KSrSb2 after structural relaxation.

Calculated values
As for the density of states at the Fermi level: 0.42 states/eV/atom. The calculation puts the total magnetization at 0.0 μB/f.u.

Cell: 5.1542 5.1542 8.5577 Å, 72.47 72.47 60.00°
Sites, in units of the cell vectors:
Sr 0.4539 0.4539 0.6384
Sb 0.0359 0.0359 0.8922
K 0.2846 0.2846 0.1463
Sb 0.7256 0.7256 0.8231

***

<S>
VASP calculation (GGA-PBEsol) on KSrSb2 after structural relaxation.

Calculated values
As for the density of states at the Fermi level: 0.63 states/eV/atom. The calculation puts the total magnetization at 0.0 μB/f.u.

Cell: 3.4048 6.0845 6.0845 Å, 90.00 90.00 90.00°
Sites, in units of the cell vectors:
Sb 0.0000 0.3750 0.5000
K 0.5000 0.8751 0.5000
Sb 0.0000 0.8749 0.0000
Sr 0.5000 0.3751 0.0000

***

Most stable of them? <S>.

***

<P>
VASP calculation (GGA-PBEsol) on KSb2W after structural relaxation.

Calculated values
As for the density of states at the Fermi level: 0.65 states/eV/atom. The calculation puts the total magnetization at 0.0 μB/f.u.

Cell: 3.4439 3.5175 9.0915 Å, 101.15 100.92 90.00°
Sites, in units of the cell vectors:
Sb 0.0245 0.0245 0.0490
Sb 0.8332 0.3332 0.6665
W 0.4501 0.4501 0.9001
K 0.1922 0.6922 0.3844

***

<Q>
VASP calculation (GGA-PBEsol) on KSb2W after structural relaxation.

Calculated values
As for the density of states at the Fermi level: 1.16 states/eV/atom. The calculation puts the total magnetization at 1.1 μB/f.u.

Cell: 5.0612 5.0612 5.0612 Å, 60.00 60.00 60.00°
Each line ends with the local moment (μB).
Sites, in units of the cell vectors:
W 0.2500 0.2500 0.2500  0.94
Sb 0.7500 0.7500 0.7500  -0.05
Sb 0.0000 0.0000 0.0000  -0.05
K 0.5000 0.5000 0.5000  0.02

***

Most stable of them? <P>.